[1]
! SbMo (PBE, optimized geometry); values from VASP
! Symmetry   No. 63
! Density   9.05 g/cm3
! DOS(E_F)   0.800 states/eV per atom
! ΔE_f (raw)   36 kJ/mol of formula units
&SYSTEM
  ibrav = 0, nat = 8, ntyp = 2
/
ATOMIC_SPECIES
Sb 121.76 Sb.upf
Mo 95.94 Mo.upf
ATOMIC_POSITIONS crystal
Sb 0.0000 0.1455 0.2500
Sb 0.0000 0.8545 0.7500
Sb 0.5000 0.3545 0.7500
Sb 0.5000 0.6455 0.2500
Mo 0.0000 0.4292 0.2500
Mo 0.0000 0.5708 0.7500
Mo 0.5000 0.0708 0.7500
Mo 0.5000 0.9292 0.2500
CELL_PARAMETERS angstrom
3.5098 0.0000 0.0000
0.0000 9.9791 0.0000
0.0000 0.0000 4.5634



[2]
! NaSm2Tl (PBE, optimized geometry); values from VASP
! Symmetry   No. 225
! Density   7.44 g/cm3
! DOS(E_F)   1.368 states/eV per atom
! ΔE to the lowest computed polymorph   0.000 eV per atom
&SYSTEM
  ibrav = 0, nat = 16, ntyp = 3
/
ATOMIC_SPECIES
Na 22.99 Na.upf
Sm 150.36 Sm.upf
Tl 204.38 Tl.upf
ATOMIC_POSITIONS crystal
Na 0.0000 0.0000 0.0000
Na 0.0000 0.5000 0.5000
Na 0.5000 0.0000 0.5000
Na 0.5000 0.5000 0.0000
Sm 0.2500 0.2500 0.2500
Sm 0.2500 0.2500 0.7500
Sm 0.2500 0.7500 0.2500
Sm 0.2500 0.7500 0.7500
Sm 0.7500 0.2500 0.2500
Sm 0.7500 0.2500 0.7500
Sm 0.7500 0.7500 0.2500
Sm 0.7500 0.7500 0.7500
Tl 0.0000 0.0000 0.5000
Tl 0.0000 0.5000 0.0000
Tl 0.5000 0.0000 0.0000
Tl 0.5000 0.5000 0.5000
CELL_PARAMETERS angstrom
7.7819 0.0000 0.0000
0.0000 7.7819 0.0000
0.0000 0.0000 7.7819



[3]
! K2HoSbS4 (PBE, optimized geometry); values from VASP
! Symmetry   No. 74
! Density   3.95 g/cm3
! ΔE_f (raw)   -976 kJ/mol of formula units
&SYSTEM
  ibrav = 0, nat = 16, ntyp = 4
/
ATOMIC_SPECIES
K 39.10 K.upf
Ho 164.93 Ho.upf
Sb 121.76 Sb.upf
S 32.06 S.upf
ATOMIC_POSITIONS crystal
K 0.0000 0.0000 0.0000
K 0.5000 0.0000 0.0000
K 0.5000 0.0000 0.5000
K 0.5000 0.5000 0.5000
Ho 0.0000 0.0000 0.5000
Ho 0.0000 0.5000 0.0000
Sb 0.0000 0.5000 0.5000
Sb 0.5000 0.5000 0.0000
S 0.2042 0.7361 0.4681
S 0.2320 0.2639 0.9681
S 0.2332 0.2591 0.5259
S 0.2332 0.7073 0.9741
S 0.7668 0.2927 0.0259
S 0.7668 0.7409 0.4741
S 0.7680 0.7361 0.0319
S 0.7958 0.2639 0.5319
CELL_PARAMETERS angstrom
-4.1608 4.2093 5.9221
4.1608 -4.2093 5.9221
4.1608 4.2093 -5.9221



[4]
! AlAg9S6 (PBE, optimized geometry); values from VASP
! Symmetry   No. 1
! Density   6.16 g/cm3
! DOS(E_F)   0.094 states/eV per atom
! ΔE_f (raw)   -319 kJ/mol of formula units
&SYSTEM
  ibrav = 0, nat = 16, ntyp = 3
/
ATOMIC_SPECIES
Al 26.98 Al.upf
Ag 107.87 Ag.upf
S 32.06 S.upf
ATOMIC_POSITIONS crystal
Al 0.0000 0.0000 0.0000
Ag 0.0533 0.5048 0.0424
Ag 0.0726 0.3064 0.4278
Ag 0.3360 0.7648 0.4972
Ag 0.3819 0.5424 0.9100
Ag 0.5305 0.0021 0.0389
Ag 0.5676 0.5198 0.5038
Ag 0.6538 0.1617 0.4676
Ag 0.7428 0.4667 0.1941
Ag 0.9844 0.8902 0.5158
S 0.0239 0.5498 0.5881
S 0.2276 0.1144 0.3579
S 0.2580 0.1414 0.8964
S 0.5172 0.7723 0.2782
S 0.7454 0.1057 0.8528
S 0.7684 0.6400 0.9006
CELL_PARAMETERS angstrom
7.6200 0.0000 0.0000
-3.7943 6.6434 0.0000
-3.7796 -2.1697 6.3425



[5]
! Y2ThPt (PBE, optimized geometry); values from VASP
! Symmetry   No. 123
! Density   9.38 g/cm3
! DOS(E_F)   1.167 states/eV per atom
! ΔE to the lowest computed polymorph   0.075 eV per atom
&SYSTEM
  ibrav = 0, nat = 4, ntyp = 3
/
ATOMIC_SPECIES
Y 88.91 Y.upf
Th 232.04 Th.upf
Pt 195.08 Pt.upf
ATOMIC_POSITIONS crystal
Y 0.0000 0.0000 0.1976
Y 0.0000 0.0000 0.8024
Th 0.5000 0.5000 0.5000
Pt 0.5000 0.5000 0.0000
CELL_PARAMETERS angstrom
3.5539 0.0000 0.0000
0.0000 3.5539 0.0000
0.0000 0.0000 8.4781



[6]
! CaTe2Cl (PBE, optimized geometry); values from VASP
! Symmetry   No. 160
! Density   3.98 g/cm3
! DOS(E_F)   0.677 states/eV per atom
! ΔE_f (raw)   -331 kJ/mol of formula units
! ΔE to the lowest computed polymorph   0.223 eV per atom
&SYSTEM
  ibrav = 0, nat = 12, ntyp = 3
/
ATOMIC_SPECIES
Ca 40.08 Ca.upf
Te 127.60 Te.upf
Cl 35.45 Cl.upf
ATOMIC_POSITIONS crystal
Ca 0.0000 0.0000 0.0000
Ca 0.3333 0.6667 0.6667
Ca 0.6667 0.3333 0.3333
Te 0.0000 0.0000 0.4817
Te 0.0000 0.0000 0.7418
Te 0.3333 0.6667 0.1484
Te 0.3333 0.6667 0.4085
Te 0.6667 0.3333 0.0752
Te 0.6667 0.3333 0.8151
Cl 0.0000 0.0000 0.2851
Cl 0.3333 0.6667 0.9518
Cl 0.6667 0.3333 0.6185
CELL_PARAMETERS angstrom
4.0089 0.0000 0.0000
-2.0044 3.4718 0.0000
0.0000 0.0000 29.7161



[7]
! BeCuHPt2 (PBE, optimized geometry); values from VASP
! Symmetry   No. 123
! Density   13.95 g/cm3
! DOS(E_F)   0.138 states/eV per atom
! Uncorrected energy   -24.0 eV for the cell shown
&SYSTEM
  ibrav = 0, nat = 5, ntyp = 4
/
ATOMIC_SPECIES
Be 9.01 Be.upf
Cu 63.55 Cu.upf
H 1.01 H.upf
Pt 195.08 Pt.upf
ATOMIC_POSITIONS crystal
Be 0.0000 0.0000 0.0000
Cu 0.5000 0.5000 0.0000
H 0.0000 0.0000 0.5000
Pt 0.0000 0.5000 0.5000
Pt 0.5000 0.0000 0.5000
CELL_PARAMETERS angstrom
3.9356 0.0000 0.0000
0.0000 3.9356 0.0000
0.0000 0.0000 3.5640



[8]
! Sr2TlCrOs (PBE, optimized geometry); values from VASP
! Symmetry   No. 123
! Density   6.55 g/cm3
! DOS(E_F)   0.944 states/eV per atom
! Uncorrected energy   -23.2 eV for the cell shown
&SYSTEM
  ibrav = 0, nat = 5, ntyp = 4
/
ATOMIC_SPECIES
Sr 87.62 Sr.upf
Tl 204.38 Tl.upf
Cr 52.00 Cr.upf
Os 190.23 Os.upf
ATOMIC_POSITIONS crystal
Sr 0.0000 0.5000 0.0000
Sr 0.5000 0.0000 0.0000
Tl 0.0000 0.0000 0.5000
Cr 0.5000 0.5000 0.0000
Os 0.5000 0.5000 0.5000
CELL_PARAMETERS angstrom
5.9772 0.0000 0.0000
0.0000 5.9772 0.0000
0.0000 0.0000 4.4104



[9]
! SrCaPb (PBE, optimized geometry); values from VASP
! Symmetry   No. 107
! Density   4.90 g/cm3
! DOS(E_F)   0.667 states/eV per atom
! Uncorrected energy   -17.0 eV for the cell shown
&SYSTEM
  ibrav = 0, nat = 6, ntyp = 3
/
ATOMIC_SPECIES
Sr 87.62 Sr.upf
Ca 40.08 Ca.upf
Pb 207.20 Pb.upf
ATOMIC_POSITIONS crystal
Sr 0.0000 0.0000 0.0000
Sr 0.5000 0.5000 0.5000
Ca 0.0000 0.0000 0.7209
Ca 0.5000 0.5000 0.2209
Pb 0.0000 0.0000 0.3498
Pb 0.5000 0.5000 0.8498
CELL_PARAMETERS angstrom
3.9474 0.0000 0.0000
0.0000 3.9474 0.0000
0.0000 0.0000 14.5798



[10]
! Li2Nd2HoTl2 (PBE, optimized geometry); values from VASP
! Symmetry   No. 166
! Density   7.79 g/cm3
! DOS(E_F)   0.829 states/eV per atom
! Uncorrected energy   -24.0 eV for the cell shown
&SYSTEM
  ibrav = 0, nat = 7, ntyp = 4
/
ATOMIC_SPECIES
Li 6.94 Li.upf
Nd 144.24 Nd.upf
Ho 164.93 Ho.upf
Tl 204.38 Tl.upf
ATOMIC_POSITIONS crystal
Li 0.1098 0.1098 0.1098
Li 0.8902 0.8902 0.8902
Nd 0.3738 0.3738 0.3738
Nd 0.6262 0.6262 0.6262
Ho 0.5000 0.5000 0.5000
Tl 0.2334 0.2334 0.2334
Tl 0.7666 0.7666 0.7666
CELL_PARAMETERS angstrom
2.4279 1.4017 9.1422
-2.4279 1.4017 9.1422
0.0000 -2.8035 9.1422



[11]
! CePa2In (PBE, optimized geometry); values from VASP
! Symmetry   No. 123
! Density   11.64 g/cm3
! DOS(E_F)   2.763 states/eV per atom
! ΔE to the lowest computed polymorph   0.000 eV per atom
&SYSTEM
  ibrav = 0, nat = 4, ntyp = 3
/
ATOMIC_SPECIES
Ce 140.12 Ce.upf
Pa 231.04 Pa.upf
In 114.82 In.upf
ATOMIC_POSITIONS crystal
Ce 0.0000 0.0000 0.0000
Pa 0.0000 0.5000 0.5000
Pa 0.5000 0.0000 0.5000
In 0.5000 0.5000 0.0000
CELL_PARAMETERS angstrom
4.5873 0.0000 0.0000
0.0000 4.5873 0.0000
0.0000 0.0000 4.8598



[12]
! NaPrBi2 (PBE, optimized geometry); values from VASP
! Symmetry   No. 129
! Density   7.68 g/cm3
! DOS(E_F)   0.549 states/eV per atom
! ΔE to the lowest computed polymorph   0.000 eV per atom
&SYSTEM
  ibrav = 0, nat = 8, ntyp = 3
/
ATOMIC_SPECIES
Na 22.99 Na.upf
Pr 140.91 Pr.upf
Bi 208.98 Bi.upf
ATOMIC_POSITIONS crystal
Na 0.2500 0.7500 0.0000
Na 0.7500 0.2500 0.0000
Pr 0.2500 0.2500 0.2823
Pr 0.7500 0.7500 0.7177
Bi 0.2500 0.2500 0.8038
Bi 0.2500 0.7500 0.5000
Bi 0.7500 0.2500 0.5000
Bi 0.7500 0.7500 0.1962
CELL_PARAMETERS angstrom
4.5834 0.0000 0.0000
0.0000 4.5834 0.0000
0.0000 0.0000 11.9757